Compound: Nd6SeS5
Source: Alexandria via LeMat-Bulk
Functional: PBE-GGA
Structure: relaxed

a b c (Å): 7.1045 7.1045 7.0957
angles (deg): 99.61 99.61 120.13
Closest atoms and distances in Å follow each position.
Atoms (fractional coordinates):
S (0.8371, 0.1629, 0.5000)  6 Nd 2.84-2.88
S (0.6669, 0.3331, 0.0000)  6 Nd 2.91
S (0.5000, 0.5000, 0.5000)  6 Nd 2.82-2.89
S (0.3331, 0.6669, 0.0000)  6 Nd 2.91
S (0.1629, 0.8371, 0.5000)  6 Nd 2.84-2.88
Nd (0.4284, 0.0861, 0.2600)  5 S 2.84-2.91, 1 Se 2.99
Nd (0.9139, 0.5716, 0.7400)  5 S 2.84-2.91, 1 Se 2.99
Nd (0.2559, 0.2559, 0.7419)  5 S 2.82-2.91, 1 Se 2.98
Nd (0.7441, 0.7441, 0.2581)  5 S 2.82-2.91, 1 Se 2.98
Nd (0.0861, 0.4284, 0.2600)  5 S 2.84-2.91, 1 Se 2.99
Nd (0.5716, 0.9139, 0.7400)  5 S 2.84-2.91, 1 Se 2.99
Se (0.0000, 0.0000, 0.0000)  6 Nd 2.98-2.99

Results
final energy	-76.667	eV per cell
E_form (uncorrected)	-192.5	kJ per mole of atoms